A relaxed structure of Mg2ZnCd, computed with GGA-PBEsol.

Calculated values
As for the final energy: -1.57 eV/atom. Its energy relative to the elements is -0.017 eV per atom. The total magnetic moment is 0.00 μB/f.u. As for the distance to the lowest polymorph of the same formula: 0.067 eV per atom.

```
data_Mg2ZnCd
_cell_length_a 3.088
_cell_length_b 3.088
_cell_length_c 8.209
_cell_angle_alpha 90.00
_cell_angle_beta 90.00
_cell_angle_gamma 90.00
_space_group_name_H-M_alt 'P 1'
_space_group_IT_number 1
loop_
_space_group_symop_operation_xyz
'x,y,z'
loop_
_atom_site_label
_atom_site_fract_x
_atom_site_fract_y
_atom_site_fract_z
_atom_site_occupancy
Mg1 0.000 0.000 0.000 1
Mg2 0.500 0.500 0.288 1
Zn1 0.000 0.000 0.511 1
Cd1 0.500 0.500 0.738 1
```